1.
# SrCe2Ir2

Crystalline SrCe2Ir2 at its relaxed geometry (PBE, the Alexandria database).

Cell: 5.3009 7.5920 7.5922 Å, 74.40 69.55 69.55°
Closest atoms and distances in Å follow each position.
Fractional positions:
Ce1 0.0896 0.0775 0.2446  1 Ir 2.55
Ce2 0.5883 0.5779 0.7443  1 Ir 2.55
Ce3 0.4116 0.4221 0.2557  1 Ir 2.55
Ce4 0.9104 0.9225 0.7554  1 Ir 2.55
Ir1 0.3541 0.8125 0.9791  1 Ce 2.55
Ir2 0.6459 0.1875 0.0209  1 Ce 2.55
Ir3 0.1460 0.6876 0.5207  1 Ce 2.55
Ir4 0.8540 0.3124 0.4793  1 Ce 2.55
Sr1 0.7509 0.7497 0.2496  6 Ir 3.26-3.27, 6 Ce 3.52-3.53
Sr2 0.2491 0.2503 0.7504  6 Ir 3.26-3.27, 6 Ce 3.52-3.53

Values from the calculation:
Formation energy from the elements: -486 meV/atom
Spin magnetization: 0.783 μB per formula unit

2.
# SrCe2Ir

Crystalline SrCe2Ir at its relaxed geometry (PBE, the Alexandria database).

Cell: 4.1634 4.1634 9.8607 Å, 77.81 77.81 60.00°
Closest atoms and distances in Å follow each position.
Fractional positions:
Ce1 0.2820 0.2820 0.1541  3 Ir 2.81
Ce2 0.0506 0.0506 0.8483  3 Ir 2.82
Sr1 0.5017 0.5017 0.4950  6 Ce 4.05-4.15, 6 Sr 4.16
Ir1 0.6658 0.6658 0.0026  6 Ce 2.81-2.82

Values from the calculation:
Formation energy from the elements: -299 meV/atom
Spin magnetization: 2.166 μB per formula unit

3.
# SrCeIr2

Crystalline SrCeIr2 at its relaxed geometry (PBE, the Alexandria database).

Cell: 3.5750 3.5750 7.1192 Å, 90.00 90.00 90.00°
Closest atoms and distances in Å follow each position.
Fractional positions:
Ce1 0.5000 0.5000 0.0000  8 Ir 2.92
Ir1 0.0000 0.0000 0.2044  1 Ir 2.91, 4 Ce 2.92
Ir2 0.0000 0.0000 0.7956  1 Ir 2.91, 4 Ce 2.92
Sr1 0.5000 0.5000 0.5000  8 Ir 3.29, 2 Ce 3.56, 4 Sr 3.58

Values from the calculation:
Formation energy from the elements: -436 meV/atom
Spin magnetization: 0.000 μB per formula unit

4.
# Sr2CeIr9

Crystalline Sr2CeIr9 at its relaxed geometry (PBE, the Alexandria database).

Cell: 5.3930 5.3930 9.4327 Å, 73.39 73.39 60.00°
Closest atoms and distances in Å follow each position.
Fractional positions:
Ce1 0.0000 0.0000 0.0000  18 Ir 3.11-3.43
Ir1 0.4236 0.9147 0.2380  7 Ir 2.61-2.79
Ir2 0.9147 0.4236 0.2380  7 Ir 2.61-2.79
Ir3 0.5000 0.5000 0.5000  6 Ir 2.79
Ir4 0.3317 0.3317 0.0050  6 Ir 2.61-2.65
Ir5 0.5764 0.5764 0.7620  7 Ir 2.61-2.79
Ir6 0.6683 0.6683 0.9950  6 Ir 2.61-2.65
Ir7 0.0853 0.5764 0.7620  7 Ir 2.61-2.79
Ir8 0.5764 0.0853 0.7620  7 Ir 2.61-2.79
Ir9 0.4236 0.4236 0.2380  7 Ir 2.61-2.79
Sr1 0.1421 0.1421 0.5737  12 Ir 3.18-3.38, 3 Sr 3.38
Sr2 0.8579 0.8579 0.4263  12 Ir 3.18-3.38, 3 Sr 3.38

Values from the calculation:
Formation energy from the elements: -306 meV/atom
Spin magnetization: 0.000 μB per formula unit

5.
# SrCeIr4

Crystalline SrCeIr4 at its relaxed geometry (PBE, the Alexandria database).

Cell: 5.4324 5.4324 5.4324 Å, 60.00 60.00 60.00°
Closest atoms and distances in Å follow each position.
Fractional positions:
Sr1 0.2500 0.2500 0.2500  12 Ir 3.18, 4 Ce 3.33
Ir1 0.6249 0.6249 0.1252  6 Ir 2.71-2.72
Ir2 0.6249 0.6249 0.6249  6 Ir 2.71-2.72
Ir3 0.6249 0.1252 0.6249  6 Ir 2.71-2.72
Ir4 0.1252 0.6249 0.6249  6 Ir 2.71-2.72
Ce1 0.0000 0.0000 0.0000  12 Ir 3.19, 4 Sr 3.33

Values from the calculation:
Formation energy from the elements: -538 meV/atom
Spin magnetization: 0.000 μB per formula unit

6.
# SrCe3Ir2

Crystalline SrCe3Ir2 at its relaxed geometry (PBE, the Alexandria database).

Cell: 4.8125 9.4109 7.2967 Å, 104.18 90.00 104.81°
Closest atoms and distances in Å follow each position.
Fractional positions:
Ce1 0.9750 0.9500 0.7485  3 Ir 2.88-2.95, 2 Ce 3.08
Ce2 0.0250 0.0500 0.2515  3 Ir 2.88-2.95, 2 Ce 3.08
Ce3 0.3153 0.6307 0.5836  3 Ir 2.70-2.91
Ce4 0.5745 0.1490 0.7026  3 Ir 2.79-2.94, 2 Ce 3.08
Ce5 0.6847 0.3693 0.4164  3 Ir 2.70-2.91
Ce6 0.4255 0.8510 0.2974  3 Ir 2.79-2.94, 2 Ce 3.08
Sr1 0.1889 0.3778 0.0532  3 Ir 3.21-3.24, 2 Sr 3.49
Sr2 0.8111 0.6222 0.9468  3 Ir 3.21-3.24, 2 Sr 3.49
Ir1 0.5765 0.1530 0.0857  4 Ce 2.70-2.95, 1 Ir 2.75
Ir2 0.4235 0.8470 0.9143  4 Ce 2.70-2.95, 1 Ir 2.75
Ir3 0.8541 0.7082 0.4055  6 Ce 2.88-3.10
Ir4 0.1459 0.2918 0.5945  6 Ce 2.88-3.10

Values from the calculation:
Formation energy from the elements: -436 meV/atom
Spin magnetization: 1.963 μB per formula unit

7.
# SrCe4Ir4

Crystalline SrCe4Ir4 at its relaxed geometry (PBE, the Alexandria database).

Cell: 5.5592 9.3062 9.3062 Å, 90.00 90.00 90.00°
Closest atoms and distances in Å follow each position.
Fractional positions:
Ce1 0.9327 0.6066 0.8327  5 Ir 2.76-2.95
Ce2 0.4327 0.3327 0.8934  5 Ir 2.76-2.95
Ce3 0.0673 0.8327 0.3934  5 Ir 2.76-2.95
Ce4 0.5673 0.8934 0.6673  5 Ir 2.76-2.95
Ce5 0.9327 0.3934 0.1673  5 Ir 2.76-2.95
Ce6 0.0673 0.1673 0.6066  5 Ir 2.76-2.95
Ce7 0.5673 0.1066 0.3327  5 Ir 2.76-2.95
Ce8 0.4327 0.6673 0.1066  5 Ir 2.76-2.95
Ir1 0.9306 0.6884 0.1392  5 Ce 2.76-2.95
Ir2 0.4306 0.6392 0.8116  5 Ce 2.76-2.95
Ir3 0.0694 0.8608 0.6884  5 Ce 2.76-2.95
Ir4 0.0694 0.1392 0.3116  5 Ce 2.76-2.95
Ir5 0.5694 0.1884 0.6392  5 Ce 2.76-2.95
Ir6 0.5694 0.8116 0.3608  5 Ce 2.76-2.95
Ir7 0.9306 0.3116 0.8608  5 Ce 2.76-2.95
Ir8 0.4306 0.3608 0.1884  5 Ce 2.76-2.95
Sr1 0.0000 0.0000 0.0000  4 Ir 3.20
Sr2 0.5000 0.5000 0.5000  4 Ir 3.20

Values from the calculation:
Formation energy from the elements: -613 meV/atom
Spin magnetization: 1.033 μB per formula unit

8.
# CeTaIr2

Crystalline CeTaIr2 at its relaxed geometry (PBE, the Alexandria database).

Cell: 3.0680 3.0680 7.7517 Å, 90.00 90.00 90.00°
Closest atoms and distances in Å follow each position.
Fractional positions:
Ir1 0.0000 0.0000 0.7854  4 Ta 2.73
Ir2 0.0000 0.0000 0.2146  4 Ta 2.73
Ta1 0.5000 0.5000 0.0000  8 Ir 2.73
Ce1 0.5000 0.5000 0.5000  4 Ce 3.07, 8 Ir 3.10

Values from the calculation:
Formation energy from the elements: -620 meV/atom
Spin magnetization: 0.000 μB per formula unit

9.
# CeTa2Ir2

Crystalline CeTa2Ir2 at its relaxed geometry (PBE, the Alexandria database).

Cell: 4.4687 4.4687 6.1560 Å, 111.28 111.28 90.00°
Closest atoms and distances in Å follow each position.
Fractional positions:
Ta1 0.2500 0.7500 0.5000  4 Ir 2.59
Ta2 0.7500 0.2500 0.5000  4 Ir 2.59
Ce1 0.0000 0.0000 0.0000  8 Ir 3.43, 8 Ta 3.46
Ir1 0.3738 0.3738 0.7475  4 Ta 2.59, 1 Ir 2.67
Ir2 0.6262 0.6262 0.2525  4 Ta 2.59, 1 Ir 2.67

Values from the calculation:
Formation energy from the elements: -549 meV/atom
Spin magnetization: 0.807 μB per formula unit

10.
# CeTaIr2

Crystalline CeTaIr2 at its relaxed geometry (PBE, the Alexandria database).

Cell: 4.3709 4.3709 5.5496 Å, 66.81 66.81 60.00°
Closest atoms and distances in Å follow each position.
Fractional positions:
Ta1 0.5000 0.5000 0.5000  6 Ir 2.64
Ir1 0.2183 0.2183 0.3452  3 Ta 2.64, 3 Ir 2.95
Ir2 0.7817 0.7817 0.6548  3 Ta 2.64, 3 Ir 2.95
Ce1 0.0000 0.0000 0.0000  8 Ir 3.05-3.24

Values from the calculation:
Formation energy from the elements: -524 meV/atom
Spin magnetization: 0.000 μB per formula unit

11.
# Ce2TaIr

Crystalline Ce2TaIr at its relaxed geometry (PBE, the Alexandria database).

Cell: 2.9536 2.9536 10.9404 Å, 82.24 82.24 60.00°
Closest atoms and distances in Å follow each position.
Fractional positions:
Ta1 0.0000 0.0000 0.0000  2 Ce 2.91, 6 Ta 2.95
Ce1 0.0897 0.0897 0.7310  1 Ta 2.91, 6 Ce 2.95, 3 Ir 3.02
Ce2 0.9103 0.9103 0.2690  1 Ta 2.91, 6 Ce 2.95, 3 Ir 3.02
Ir1 0.5000 0.5000 0.5000  6 Ir 2.95, 6 Ce 3.02

Values from the calculation:
Formation energy from the elements: 223 meV/atom
Spin magnetization: 0.005 μB per formula unit

12.
# CeTaTiIr2

Crystalline CeTaTiIr2 at its relaxed geometry (PBE, the Alexandria database).

Cell: 4.3776 4.3776 6.1661 Å, 110.79 110.79 90.00°
Closest atoms and distances in Å follow each position.
Fractional positions:
Ce1 0.0000 0.0000 0.0000  8 Ir 3.37, 4 Ta 3.45, 4 Ti 3.45
Ir1 0.6240 0.6240 0.2480  2 Ta 2.57, 2 Ti 2.57, 1 Ir 2.65
Ir2 0.3760 0.3760 0.7520  2 Ta 2.57, 2 Ti 2.57, 1 Ir 2.65
Ti1 0.2500 0.7500 0.5000  4 Ir 2.57
Ta1 0.7500 0.2500 0.5000  4 Ir 2.57

Values from the calculation:
Formation energy from the elements: -663 meV/atom
Spin magnetization: 0.705 μB per formula unit

> Look up the spin magnetization of the second one.

2.166 μB per formula unit

> The highest spin magnetization belongs to which entry?

SrCe2Ir

Please write out number 11 again, unchanged.
# Ce2TaIr

Crystalline Ce2TaIr at its relaxed geometry (PBE, the Alexandria database).

Cell: 2.9536 2.9536 10.9404 Å, 82.24 82.24 60.00°
Closest atoms and distances in Å follow each position.
Fractional positions:
Ta1 0.0000 0.0000 0.0000  2 Ce 2.91, 6 Ta 2.95
Ce1 0.0897 0.0897 0.7310  1 Ta 2.91, 6 Ce 2.95, 3 Ir 3.02
Ce2 0.9103 0.9103 0.2690  1 Ta 2.91, 6 Ce 2.95, 3 Ir 3.02
Ir1 0.5000 0.5000 0.5000  6 Ir 2.95, 6 Ce 3.02

Values from the calculation:
Formation energy from the elements: 223 meV/atom
Spin magnetization: 0.005 μB per formula unit

> Which of these has the highest spin magnetization?

SrCe2Ir